Record 1
Compound: ZnCd6Sn
Source: Alexandria
Functional: GGA-PBE
Structure: relaxed

```
ZnCd6Sn
1.0
-1.5341 -4.1441 -0.6113
4.1817 -1.4770 -0.4816
0.4967 -1.4975 8.9059
Cd Zn Sn
6 1 1
Direct
0.5000 0.0000 0.2674
0.5000 0.5000 0.5000
0.0000 0.5000 0.2674
0.5000 0.0000 0.7326
0.0000 0.5000 0.7326
0.5000 0.5000 0.0000
0.0000 0.0000 0.5000
0.0000 0.0000 0.0000
```

Results
Polymorph energy (0 for the lowest one) = 0.0098 eV per atom
E_form = 0.0597 eV per atom
N(E_F) = 4.5 states/eV/f.u.

Record 2
Compound: La12Y7Tm
Source: Alexandria
Functional: GGA-PBE
Structure: relaxed

```
La12Y7Tm
1.0
8.6711 1.0993 1.6500
-1.3551 8.6348 1.6500
-1.3551 -1.8030 8.6041
La Y Tm
12 7 1
Direct
0.2661 0.7190 0.8545
0.4825 0.6103 0.1433
0.8545 0.2661 0.7190
0.8567 0.5175 0.3897
0.1455 0.7339 0.2810
0.6103 0.1433 0.4825
0.3897 0.8567 0.5175
0.1433 0.4825 0.6103
0.2810 0.1455 0.7339
0.7190 0.8545 0.2661
0.7339 0.2810 0.1455
0.5175 0.3897 0.8567
0.1421 0.3767 0.0602
0.5000 0.5000 0.5000
0.9398 0.8579 0.6233
0.0602 0.1421 0.3767
0.3767 0.0602 0.1421
0.6233 0.9398 0.8579
0.8579 0.6233 0.9398
0.0000 0.0000 0.0000
```

Results
Polymorph energy (0 for the lowest one) = 0.0000 eV per atom
E_form = 0.1828 eV per atom
N(E_F) = 37.2 states/eV/f.u.

Record 3
Compound: CsInGe3
Source: Alexandria
Functional: GGA-PBE
Structure: relaxed

```
CsInGe3
1.0
-1.9882 0.2405 -5.4716
-5.4596 -0.5480 1.9598
-0.4337 5.7958 0.4123
Ge In Cs
3 1 1
Direct
0.5000 0.0000 0.0000
0.0000 0.5000 0.0000
0.0000 0.0000 0.5000
0.5000 0.5000 0.5000
0.0000 0.0000 0.0000
```

Results
Polymorph energy (0 for the lowest one) = 1.0369 eV per atom
E_form = 1.6355 eV per atom
N(E_F) = 3.4 states/eV/f.u.

Record 4
Compound: CsHg3Cl
Source: Alexandria
Functional: GGA-PBE
Structure: relaxed

```
CsHg3Cl
1.0
6.4469 0.0000 0.0000
0.0000 6.4469 0.0000
0.0000 0.0000 6.4469
Hg Cl Cs
3 1 1
Direct
0.0000 0.5000 0.0000
0.0000 0.0000 0.5000
0.5000 0.0000 0.0000
0.0000 0.0000 0.0000
0.5000 0.5000 0.5000
```

Results
N(E_F) = 0.0 states/eV/f.u.

Electronic total energy / eV/cell: -10.3 -105.2 -9.3 -5.4